Entry 1:
Density functional theory data (GGA-PBE) for an optimized crystal structure of TiNb2InC.

POSCAR file:
```
TiNb2InC
1.0
4.4280 0.0000 0.0000
0.0000 4.4280 0.0000
0.0000 0.0000 4.1327
Ti Nb In C
1 2 1 1
Direct
0.0000 0.0000 0.0000
0.0000 0.5000 0.5000
0.5000 0.0000 0.5000
0.5000 0.5000 0.0000
0.0000 0.0000 0.5000
```

Calculated values
Space group = No. 123

---

Entry 2:
Density functional theory data (GGA-PBE) for an optimized crystal structure of Nb2VInC.

POSCAR file:
```
Nb2VInC
1.0
4.4495 0.0000 0.0000
0.0000 4.4495 0.0000
0.0000 0.0000 3.9377
Nb V In C
2 1 1 1
Direct
0.0000 0.5000 0.0000
0.5000 0.0000 0.0000
0.0000 0.0000 0.5000
0.5000 0.5000 0.5000
0.0000 0.0000 0.0000
```

Calculated values
Space group = No. 123

---

Entry 3:
Density functional theory data (GGA-PBE) for an optimized crystal structure of Zr2NbInC.

POSCAR file:
```
Zr2NbInC
1.0
4.6434 0.0000 0.0000
0.0000 4.6434 0.0000
0.0000 0.0000 4.2747
Zr Nb In C
2 1 1 1
Direct
0.0000 0.5000 0.0000
0.5000 0.0000 0.0000
0.0000 0.0000 0.5000
0.5000 0.5000 0.5000
0.0000 0.0000 0.0000
```

Calculated values
Space group = No. 123

---

Entry 4:
Density functional theory data (GGA-PBE) for an optimized crystal structure of Nd3InC.

POSCAR file:
```
Nd3InC
1.0
5.1317 0.0000 0.0000
0.0000 5.1317 0.0000
0.0000 0.0000 5.1317
Nd In C
3 1 1
Direct
0.0000 0.0000 0.5000
0.0000 0.5000 0.0000
0.5000 0.0000 0.0000
0.5000 0.5000 0.5000
0.0000 0.0000 0.0000
```

Calculated values
Space group = No. 221
Energy above the lowest structure with this stoichiometry = 0 meV/atom

---

Entry 5:
Density functional theory data (GGA-PBE) for an optimized crystal structure of Nd4InC.

POSCAR file:
```
Nd4InC
1.0
8.1784 -3.4860 0.0000
8.1784 3.4860 0.0000
-1.8109 0.0000 5.9028
Nd In C
8 2 2
Direct
0.1505 0.6314 0.4034
0.2464 0.7536 0.0000
0.3048 0.3048 0.7981
0.3686 0.8495 0.5966
0.6314 0.1505 0.4034
0.6952 0.6952 0.2019
0.7536 0.2464 0.0000
0.8495 0.3686 0.5966
0.1942 0.1942 0.2135
0.8058 0.8058 0.7865
0.4458 0.4458 0.7013
0.5542 0.5542 0.2987
```

Calculated values
Space group = No. 12

---

Entry 6:
Density functional theory data (GGA-PBE) for an optimized crystal structure of Nd2InC.

POSCAR file:
```
Nd2InC
1.0
3.6540 0.0000 0.0000
-1.8270 3.1645 0.0000
0.0000 0.0000 28.7234
Nd In C
6 3 3
Direct
0.0000 0.0000 0.1177
0.0000 0.0000 0.8823
0.3333 0.6667 0.5490
0.3333 0.6667 0.7844
0.6667 0.3333 0.2156
0.6667 0.3333 0.4510
0.0000 0.0000 0.0000
0.3333 0.6667 0.6667
0.6667 0.3333 0.3333
0.0000 0.0000 0.5000
0.3333 0.6667 0.1667
0.6667 0.3333 0.8333
```

Calculated values
Space group = No. 166

---

Entry 7:
Density functional theory data (GGA-PBE) for an optimized crystal structure of Nd4In2C.

POSCAR file:
```
Nd4In2C
1.0
5.1958 0.0000 0.0000
0.0000 5.1958 0.0000
0.0000 0.0000 15.4966
Nd In C
8 4 2
Direct
0.0000 0.0000 0.1638
0.0000 0.0000 0.8362
0.0000 0.5000 0.0000
0.0000 0.5000 0.5000
0.5000 0.0000 0.0000
0.5000 0.0000 0.5000
0.5000 0.5000 0.3362
0.5000 0.5000 0.6638
0.0000 0.0000 0.3718
0.0000 0.0000 0.6282
0.5000 0.5000 0.1282
0.5000 0.5000 0.8718
0.0000 0.0000 0.0000
0.5000 0.5000 0.5000
```

Calculated values
Space group = No. 139

---

Entry 8:
Density functional theory data (GGA-PBE) for an optimized crystal structure of PmNd2InC.

POSCAR file:
```
PmNd2InC
1.0
5.1306 0.0000 0.0000
0.0000 5.1306 0.0000
0.0000 0.0000 5.0906
Pm Nd In C
1 2 1 1
Direct
0.0000 0.0000 0.0000
0.0000 0.5000 0.5000
0.5000 0.0000 0.5000
0.5000 0.5000 0.0000
0.0000 0.0000 0.5000
```

Calculated values
Space group = No. 123

---

We obtain formation energy from the elements values of -0.274, -0.165, -0.417, -0.322, -0.104, -0.064, -0.274, -0.335 eV/atom for the records listed above, in that order.